Record 1
This record from Alexandria via LeMat-Bulk describes a geometry-optimized Zr4Co structure. The functional is PBE-GGA. Values from VASP.

```
&SYSTEM
  ibrav = 0, nat = 5, ntyp = 2
/
ATOMIC_SPECIES
Zr 91.22 Zr.upf
Co 58.93 Co.upf
CELL_PARAMETERS angstrom
-3.930 3.930 1.643
3.930 -3.930 1.643
3.930 3.930 -1.643
ATOMIC_POSITIONS crystal
Zr 0.082 0.726 0.808
Zr 0.274 0.082 0.355
Zr 0.726 0.918 0.645
Zr 0.918 0.274 0.192
Co 0.500 0.500 0.000
```

Values from the calculation:
* energy above the most stable polymorph in this dataset: 9 meV per atom

=====

Record 2
This record from Alexandria via LeMat-Bulk describes a geometry-optimized CuIr2Pt structure. The functional is PBE-GGA. Values from VASP.

```
&SYSTEM
  ibrav = 0, nat = 4, ntyp = 3
/
ATOMIC_SPECIES
Cu 63.55 Cu.upf
Ir 192.22 Ir.upf
Pt 195.08 Pt.upf
CELL_PARAMETERS angstrom
2.711 0.000 0.000
0.000 4.630 0.000
0.000 0.000 4.661
ATOMIC_POSITIONS crystal
Cu 0.000 0.000 0.000
Ir 0.000 0.500 0.500
Ir 0.500 0.000 0.500
Pt 0.500 0.500 0.000
```

Values from the calculation:
* energy above the most stable polymorph in this dataset: 203 meV per atom